The following is a DFT calculation (PBE-GGA) of a relaxed YUBr6 crystal.

Unit cell a=7.5178 b=7.5178 c=7.0964 alpha=97.93 beta=97.93 gamma=123.61
Last column: magnetic moment on the atom in μB.
Fractional coordinates of all 8 atoms:
Y 0.0000 0.0000 0.0000  0.03
U 0.5000 0.5000 0.5000  2.88
Br 0.2464 0.2464 0.7533  -0.01
Br 0.3888 0.0952 0.2427  -0.01
Br 0.7536 0.7536 0.2467  -0.01
Br 0.9048 0.6112 0.7573  -0.01
Br 0.6112 0.9048 0.7573  -0.01
Br 0.0952 0.3888 0.2427  -0.01

The calculation puts the energy above the lowest structure with this stoichiometry at 0 meV/atom. As for the symmetry: C2/m, No. 12. The total energy is -5.01 eV per atom. The density of states at the Fermi level is 3.54 states/eV/f.u. The value obtained for the volume is 319.5 Å³/f.u. As for the crystal system: monoclinic. Its density is 4.19 g cm⁻³. The uncorrected formation energy comes out at -148.6 kJ/mol of atoms.



The following is a DFT calculation (PBE-GGA) of a relaxed CeNi2Pt6 crystal.

Unit cell a=7.8778 b=7.8778 c=7.8778 alpha=60.00 beta=60.00 gamma=60.00
Last column: magnetic moment on the atom in μB.
Fractional coordinates of all 18 atoms:
Ce 0.5000 0.5000 0.5000  0.03
Ce 0.7500 0.7500 0.7500  0.03
Ni 0.1250 0.1250 0.1250  0.77
Ni 0.1250 0.6250 0.1250  0.77
Ni 0.1250 0.1250 0.6250  0.77
Ni 0.6250 0.1250 0.1250  0.77
Pt 0.2553 0.2553 0.7447  0.13
Pt 0.7447 0.7447 0.2553  0.13
Pt 0.2553 0.7447 0.2553  0.13
Pt 0.2553 0.7447 0.7447  0.13
Pt 0.5053 0.5053 0.9947  0.13
Pt 0.5053 0.9947 0.9947  0.13
Pt 0.7447 0.2553 0.7447  0.13
Pt 0.9947 0.9947 0.5053  0.13
Pt 0.5053 0.9947 0.5053  0.13
Pt 0.9947 0.5053 0.5053  0.13
Pt 0.7447 0.2553 0.2553  0.13
Pt 0.9947 0.5053 0.9947  0.13

As for the symmetry: Fd-3m, No. 227. The total energy is -6.07 eV per atom. The density of states at the Fermi level is 8.57 states/eV/f.u. The value obtained for the volume is 172.8 Å³/f.u. As for the crystal system: cubic. Its density is 13.72 g cm⁻³. The value obtained for the formation energy is -0.09 eV/atom.



The following is a DFT calculation (PBE-GGA) of a relaxed RbAgTe2Ir crystal.

Unit cell a=5.2165 b=6.3062 c=5.2165 alpha=90.00 beta=90.00 gamma=90.00
Fractional coordinates of all 5 atoms:
Ir 0.0000 0.0000 0.0000
Te 0.0000 0.0000 0.5000
Te 0.5000 0.0000 0.0000
Rb 0.0000 0.5000 0.0000
Ag 0.5000 0.5000 0.5000

As for the symmetry: P4/mmm, No. 123. The total energy is -3.38 eV per atom. The density of states at the Fermi level is 5.32 states/eV/f.u. The value obtained for the volume is 171.6 Å³/f.u. As for the crystal system: tetragonal. Its density is 6.20 g cm⁻³. The uncorrected formation energy comes out at 39.7 kJ/mol of atoms.



The following is a DFT calculation (PBE-GGA) of a relaxed GaAg3Pt crystal.

Unit cell a=4.7299 b=4.7299 c=4.7299 alpha=90.00 beta=90.00 gamma=90.00
Fractional coordinates of all 5 atoms:
Ga 0.0000 0.0000 0.0000
Ag 0.0000 0.5000 0.0000
Ag 0.0000 0.0000 0.5000
Ag 0.5000 0.0000 0.0000
Pt 0.5000 0.5000 0.5000

The calculation puts the energy above the lowest structure with this stoichiometry at 50 meV/atom. As for the symmetry: Pm-3m, No. 221. The total energy is -2.78 eV per atom. The density of states at the Fermi level is 1.52 states/eV/f.u. The value obtained for the volume is 105.8 Å³/f.u. As for the crystal system: cubic. Its density is 9.23 g cm⁻³. The value obtained for the formation energy is 0.74 eV/atom.



The following is a DFT calculation (PBE-GGA) of a relaxed La3CeEr2P6 crystal.

Unit cell a=7.1579 b=7.1579 c=7.1839 alpha=99.56 beta=99.56 gamma=119.99
Last column: magnetic moment on the atom in μB.
Fractional coordinates of all 12 atoms:
La 0.1666 0.8334 0.5000  0.00
La 0.8334 0.1666 0.5000  0.00
La 0.5000 0.5000 0.5000  0.00
Ce 0.0000 0.0000 0.0000  -0.31
Er 0.3334 0.6666 0.0000  0.00
Er 0.6666 0.3334 0.0000  0.00
P 0.9219 0.5877 0.7657  0.01
P 0.7436 0.7436 0.2336  0.01
P 0.0781 0.4123 0.2343  0.01
P 0.5877 0.9219 0.7657  0.01
P 0.2564 0.2564 0.7664  0.01
P 0.4123 0.0781 0.2343  0.01

As for the symmetry: C2/m, No. 12. The total energy is -6.76 eV per atom. The density of states at the Fermi level is 5.46 states/eV/f.u. The value obtained for the volume is 300.7 Å³/f.u. As for the crystal system: monoclinic. Its density is 5.95 g cm⁻³. The value obtained for the formation energy is -1.57 eV/atom.



The following is a DFT calculation (PBE-GGA) of a relaxed Zr2CrOs crystal.

Unit cell a=2.9727 b=2.9727 c=8.1604 alpha=90.00 beta=90.00 gamma=90.00
Fractional coordinates of all 4 atoms:
Cr 0.0000 0.0000 0.5391
Os 0.5000 0.5000 0.7044
Zr 0.0000 0.0000 0.9562
Zr 0.5000 0.5000 0.3004

As for the symmetry: P4mm, No. 99. The total energy is -9.51 eV per atom. The density of states at the Fermi level is 4.72 states/eV/f.u. The value obtained for the volume is 72.1 Å³/f.u. As for the crystal system: tetragonal. Its density is 9.78 g cm⁻³. The value obtained for the formation energy is -0.02 eV/atom.



The following is a DFT calculation (PBE-GGA) of a relaxed LuPaIrRh crystal.

Unit cell a=4.8435 b=4.8435 c=4.8435 alpha=60.00 beta=60.00 gamma=60.00
Fractional coordinates of all 4 atoms:
Rh 0.5000 0.5000 0.5000
Pa 0.7500 0.7500 0.7500
Lu 0.2500 0.2500 0.2500
Ir 0.0000 0.0000 0.0000

As for the symmetry: F-43m, No. 216. The total energy is -8.33 eV per atom. The density of states at the Fermi level is 5.34 states/eV/f.u. The value obtained for the volume is 80.3 Å³/f.u. As for the crystal system: cubic. Its density is 14.49 g cm⁻³. The value obtained for the formation energy is -0.78 eV/atom.



The following is a DFT calculation (PBE-GGA) of a relaxed EuCdGa crystal.

Unit cell a=3.7389 b=4.8390 c=4.8390 alpha=120.00 beta=90.00 gamma=90.00
Last column: magnetic moment on the atom in μB.
Fractional coordinates of all 3 atoms:
Eu 0.6666 0.6667 0.3333  6.85
Ga 0.1667 0.0000 0.0000  -0.01
Cd 0.1667 0.3333 0.6667  0.01

As for the symmetry: P-6m2, No. 187. The total energy is -5.15 eV per atom. The density of states at the Fermi level is 8.18 states/eV/f.u. The value obtained for the volume is 75.8 Å³/f.u. As for the crystal system: hexagonal. Its density is 7.32 g cm⁻³. The value obtained for the formation energy is -0.41 eV/atom.